(1)
LiPmSeO4, relaxed, DFT PBE; final energy = -86.2 eV for the cell shown; N(E_F) = 0.0 states/eV/cell
1.0
-5.878 -2.940 -2.995
-3.851 -4.239 3.009
-6.007 2.229 0.892
Pm Li Se O
2 2 2 8
Cartesian
0.000 0.000 0.000 Pm
-4.929 -1.005 1.950 Pm
-5.943 -0.356 -1.052 Li
-3.004 1.115 0.446 Li
-7.061 -4.155 0.517 Se
-8.675 -0.795 0.388 Se
-3.606 -1.675 0.013 O
-5.698 -3.206 2.027 O
-9.151 -4.933 0.267 O
-10.038 -1.744 -1.121 O
-6.940 -3.053 -0.801 O
-8.796 -1.897 1.707 O
-12.130 -3.274 0.893 O
-6.585 -0.017 0.638 O

(2)
V3SnGe, relaxed, DFT PBE; relative energy among the computed polymorphs = 0.669 eV per atom; N(E_F) = 6.5 states/eV/cell
1.0
4.593 0.000 0.000
0.000 4.593 0.000
0.000 0.000 4.593
V Sn Ge
3 1 1
Cartesian
0.000 0.000 2.296 V
0.000 2.296 0.000 V
2.296 0.000 0.000 V
2.296 2.296 2.296 Sn
0.000 0.000 0.000 Ge

(3)
SrCrIr4, relaxed, DFT PBE; final energy = -45.9 eV for the cell shown; N(E_F) = 10.4 states/eV/cell
1.0
-2.775 -0.164 4.548
-3.189 4.061 1.325
-5.294 -0.616 -0.128
Ir Cr Sr
4 1 1
Cartesian
-6.874 0.920 2.087 Ir
-5.817 3.268 2.816 Ir
-4.216 1.229 2.151 Ir
-5.609 1.146 4.435 Ir
0.000 0.000 0.000 Cr
-8.443 2.461 4.309 Sr

(4)
CaY, relaxed, DFT PBE; relative energy among the computed polymorphs = 0.051 eV per atom; N(E_F) = 7.4 states/eV/cell
1.0
3.587 0.001 0.000
-1.303 3.342 0.000
0.000 0.000 12.241
Y Ca
2 2
Cartesian
0.000 0.000 5.944 Y
1.142 1.671 3.237 Y
0.000 0.000 0.136 Ca
1.142 1.671 9.044 Ca

(5)
TiZn2Au2, relaxed, DFT PBE; relative energy among the computed polymorphs = 0.139 eV per atom; N(E_F) = 3.0 states/eV/cell
1.0
3.622 0.000 0.000
0.000 3.622 0.000
1.811 1.811 6.646
Zn Au Ti
2 2 1
Cartesian
1.811 3.622 3.323 Zn
3.622 1.811 3.323 Zn
1.811 1.811 1.356 Au
3.622 3.622 5.290 Au
0.000 0.000 0.000 Ti

(6)
Cd3P, relaxed, DFT PBE; relative energy among the computed polymorphs = 0.187 eV per atom; N(E_F) = 2.0 states/eV/cell
1.0
2.932 0.000 0.000
-1.466 2.539 0.000
0.000 0.000 11.483
Cd P
3 1
Cartesian
1.466 0.846 2.871 Cd
0.000 0.000 5.935 Cd
0.000 0.000 11.290 Cd
1.466 0.846 8.612 P

(7)
Pb4SeBr6, relaxed, DFT PBE; relative energy among the computed polymorphs = 0.003 eV per atom; N(E_F) = 0.0 states/eV/cell
1.0
-5.093 5.111 -1.450
-7.409 -6.688 2.451
0.384 3.157 9.774
Pb Br Se
8 12 2
Cartesian
-4.591 -1.582 3.356 Pb
-9.503 0.666 5.563 Pb
-5.747 4.056 4.320 Pb
-4.396 0.018 8.310 Pb
-9.059 -1.453 0.826 Pb
-1.469 2.371 2.031 Pb
-5.405 1.845 -0.383 Pb
-1.279 3.928 6.851 Pb
-1.247 1.096 8.241 Br
-5.554 -2.792 9.666 Br
-8.493 1.461 -0.138 Br
-5.778 -4.627 3.985 Br
-0.113 1.884 4.800 Br
-5.947 -1.094 0.587 Br
-7.691 -1.271 3.854 Br
-7.530 0.050 7.947 Br
-4.588 1.529 2.828 Br
-1.471 -0.739 2.560 Br
-4.427 2.851 6.920 Br
-2.659 4.440 4.075 Br
-3.512 -1.766 6.113 Se
-2.547 2.556 -0.725 Se

(8)
AcCeP2, relaxed, DFT PBE; relative energy among the computed polymorphs = 0.138 eV per atom; N(E_F) = 5.3 states/eV/cell
1.0
4.196 0.000 0.000
2.098 3.634 0.000
2.098 1.211 7.280
P Ac Ce
2 1 1
Cartesian
2.098 1.211 5.615 P
2.098 1.211 1.644 P
4.196 2.422 3.711 Ac
6.294 3.634 7.231 Ce

(9)
La2TlCl, relaxed, DFT PBE; relative energy among the computed polymorphs = 0.000 eV per atom; N(E_F) = 2.3 states/eV/cell
1.0
-2.571 1.999 5.390
-3.179 -3.129 -0.356
2.572 -2.874 2.293
Cl La Tl
1 2 1
Cartesian
-1.818 -4.253 4.389 Cl
-1.517 -1.255 3.421 La
-0.529 -5.251 1.695 La
-0.225 -2.249 0.727 Tl

(10)
Ho2AlCdAu4, relaxed, DFT PBE; final energy = -32.5 eV for the cell shown; N(E_F) = 3.7 states/eV/cell
1.0
-3.897 -1.939 -2.229
-3.761 -1.657 2.651
-5.906 5.905 -0.176
Au Ho Al Cd
4 2 1 1
Cartesian
-4.612 3.164 -0.054 Au
-8.952 -0.855 0.300 Au
-5.609 -1.331 0.234 Au
-7.955 3.639 0.012 Au
-3.370 0.532 0.063 Ho
-10.195 1.776 0.182 Ho
-6.782 1.154 0.123 Al
0.000 0.000 0.000 Cd

(11)
NaCaZnP2, relaxed, DFT PBE; final energy = -14.3 eV for the cell shown; N(E_F) = 3.1 states/eV/cell
1.0
4.837 0.000 0.000
0.000 5.153 0.000
0.000 0.000 4.837
Na P Zn Ca
1 2 1 1
Cartesian
2.419 2.577 2.419 Na
0.000 0.000 2.419 P
2.419 0.000 0.000 P
0.000 0.000 0.000 Zn
0.000 2.577 0.000 Ca

(12)
LaReGe2, relaxed, DFT PBE; final energy = -26.7 eV for the cell shown; N(E_F) = 1.6 states/eV/cell
1.0
0.000 3.371 3.371
3.371 0.000 3.371
3.371 3.371 0.000
Re Ge La
1 2 1
Cartesian
3.371 3.371 3.371 Re
1.685 1.685 1.685 Ge
5.056 5.056 5.056 Ge
0.000 0.000 0.000 La

(13)
AcNi2S, relaxed, DFT PBE; final energy = -21.7 eV for the cell shown; N(E_F) = 4.0 states/eV/cell
1.0
-1.106 3.617 1.374
-3.900 0.859 0.493
-1.450 -0.259 5.408
Ni Ac S
2 1 1
Cartesian
-4.875 3.430 4.727 Ni
-1.581 0.788 2.548 Ni
0.000 0.000 0.000 Ac
-3.228 2.109 3.637 S

(14)
PuUGaPt, relaxed, DFT PBE; final energy = -36.4 eV for the cell shown; N(E_F) = 5.0 states/eV/cell
1.0
4.833 0.000 0.000
2.417 4.186 0.000
2.417 1.395 3.946
Ga U Pu Pt
1 1 1 1
Cartesian
2.417 1.395 0.987 Ga
7.250 4.186 2.960 U
4.833 2.790 1.973 Pu
0.000 0.000 0.000 Pt

(15)
Cs7NaHg3, relaxed, DFT PBE; final energy = -9.6 eV for the cell shown; N(E_F) = 8.8 states/eV/cell
1.0
6.495 7.529 0.578
-6.495 7.529 0.578
0.000 8.144 8.664
Cs Hg Na
7 3 1
Cartesian
0.000 19.133 7.620 Cs
0.000 14.833 4.708 Cs
0.000 7.702 3.184 Cs
-3.896 16.069 7.952 Cs
-3.152 11.444 2.947 Cs
3.152 11.444 2.947 Cs
3.896 16.069 7.952 Cs
0.000 11.059 5.591 Hg
2.648 12.443 6.717 Hg
-2.648 12.443 6.717 Hg
0.000 12.878 8.449 Na

(16)
RbLa2YAg, relaxed, DFT PBE; final energy = -17.2 eV for the cell shown; N(E_F) = 9.9 states/eV/cell
1.0
5.945 0.000 0.000
0.000 6.172 0.000
0.000 0.000 5.945
Ag La Rb Y
1 2 1 1
Cartesian
0.000 0.000 0.000 Ag
0.000 0.000 2.973 La
2.973 0.000 0.000 La
0.000 3.086 0.000 Rb
2.973 3.086 2.973 Y

(17)
ZrRh, relaxed, DFT PBE; final energy = -34.4 eV for the cell shown; N(E_F) = 1.9 states/eV/cell
1.0
-3.958 0.804 -0.399
1.238 -2.859 2.601
0.372 3.831 4.034
Zr Rh
2 2
Cartesian
-0.401 -0.680 2.610 Zr
-1.947 2.456 3.627 Zr
0.186 1.916 2.017 Rh
0.000 0.000 0.000 Rh

(18)
Cr3OsRh6, relaxed, DFT PBE; final energy = -169.0 eV for the cell shown; N(E_F) = 20.6 states/eV/cell
1.0
-1.469 -3.204 -1.429
5.716 0.149 -6.212
5.269 -4.587 4.868
Os Rh Cr
2 12 6
Cartesian
8.209 -3.376 -3.401 Os
1.307 -4.266 0.628 Os
7.976 -5.967 -2.413 Rh
6.746 -6.441 -0.085 Rh
2.544 -3.751 -1.797 Rh
2.771 -1.201 -2.687 Rh
1.540 -1.675 -0.359 Rh
4.692 -4.917 3.670 Rh
3.765 -3.081 0.507 Rh
3.523 -5.613 1.371 Rh
5.751 -4.561 -3.279 Rh
4.825 -2.725 -6.443 Rh
6.973 -3.891 -0.975 Rh
5.994 -2.029 -4.143 Rh
5.867 -4.401 1.306 Cr
3.649 -3.241 -4.078 Cr
0.352 -2.390 -2.597 Cr
4.674 -5.119 -0.920 Cr
4.843 -2.523 -1.852 Cr
9.165 -5.252 -0.176 Cr

(19)
LaTlSi3, relaxed, DFT PBE; relative energy among the computed polymorphs = 0.000 eV per atom; N(E_F) = 4.1 states/eV/cell
1.0
-1.379 2.389 4.361
-4.073 -3.139 0.432
2.853 -3.327 2.724
La Si Tl
1 3 1
Cartesian
-1.299 -2.038 3.759 La
-2.036 -1.569 0.216 Si
-0.689 1.194 2.181 Si
1.426 -1.663 1.362 Si
0.000 0.000 0.000 Tl

(20)
TbNd12Sm3, relaxed, DFT PBE; final energy = -75.8 eV for the cell shown; N(E_F) = 24.6 states/eV/cell
1.0
5.181 0.000 0.000
0.000 5.181 0.000
0.000 0.000 20.695
Nd Sm Tb
12 3 1
Cartesian
2.591 0.000 2.567 Nd
0.000 2.591 7.751 Nd
2.591 0.000 18.127 Nd
0.000 2.591 2.567 Nd
2.591 2.591 15.541 Nd
2.591 2.591 5.154 Nd
2.591 0.000 7.751 Nd
0.000 2.591 18.127 Nd
0.000 2.591 12.943 Nd
2.591 2.591 0.000 Nd
2.591 0.000 12.943 Nd
2.591 2.591 10.347 Nd
0.000 0.000 5.157 Sm
0.000 0.000 10.347 Sm
0.000 0.000 15.538 Sm
0.000 0.000 0.000 Tb

(21)
La3YRu, relaxed, DFT PBE; relative energy among the computed polymorphs = 0.000 eV per atom; N(E_F) = 16.1 states/eV/cell
1.0
-5.525 0.750 -3.330
-2.765 -5.041 3.452
-2.555 5.089 5.384
La Y Ru
6 2 2
Cartesian
-3.807 -0.325 0.791 La
-5.868 -1.706 3.966 La
-6.991 4.154 0.748 La
-8.913 3.028 3.751 La
-7.637 0.486 1.061 La
-7.147 0.841 6.660 La
-5.105 2.140 3.549 Y
-5.649 1.684 -1.983 Y
-4.622 0.249 5.565 Ru
-6.068 -1.850 1.160 Ru

(22)
CePa2Cu2Ge2, relaxed, DFT PBE; final energy = -44.3 eV for the cell shown; N(E_F) = 11.8 states/eV/cell
1.0
-3.855 -1.627 -0.123
-0.952 -2.914 -2.851
1.001 -8.127 4.897
Pa Cu Ce Ge
2 2 1 2
Cartesian
-3.704 -7.342 -0.479 Pa
-0.102 -5.325 2.402 Pa
-2.622 -4.508 -0.664 Cu
-1.185 -8.159 2.587 Cu
0.000 0.000 0.000 Ce
-1.059 -2.893 0.237 Ge
-2.747 -9.774 1.686 Ge

(23)
La4Nd4Th, relaxed, DFT PBE; final energy = -45.9 eV for the cell shown; N(E_F) = 15.3 states/eV/cell
1.0
5.239 0.000 0.000
2.620 7.825 0.000
2.620 0.000 7.825
La Nd Th
4 4 1
Cartesian
5.239 5.259 5.259 La
2.620 5.259 2.566 La
5.239 2.566 2.566 La
2.620 2.566 5.259 La
7.859 7.825 5.310 Nd
5.239 5.310 0.000 Nd
5.239 2.515 7.825 Nd
2.620 0.000 2.515 Nd
0.000 0.000 0.000 Th

(24)
Tm4InHg2, relaxed, DFT PBE; relative energy among the computed polymorphs = 0.133 eV per atom; N(E_F) = 8.5 states/eV/cell
1.0
-2.710 -0.389 4.150
-2.379 -4.243 1.026
6.006 -4.719 6.457
Tm In Hg
4 1 2
Cartesian
-2.326 -3.528 4.106 Tm
1.298 -2.779 3.565 Tm
-0.382 -6.573 8.067 Tm
3.243 -5.823 7.527 Tm
0.000 0.000 0.000 In
-2.759 -5.593 6.607 Hg
3.676 -3.759 5.026 Hg

(25)
CdS, relaxed, DFT PBE; final energy = -5.8 eV for the cell shown
1.0
-1.469 -2.712 2.901
4.019 -0.268 -1.307
1.299 2.926 3.393
Cd S
1 1
Cartesian
0.608 1.371 1.590 Cd
0.891 -0.703 2.884 S

Total magnetization readings, ordered: 0.000; 5.185; 2.896; 0.000; 0.738; 0.000; 0.000; 0.786; 0.000; 0.000; 0.000; 0.000; 0.000; 8.976; 0.000; 1.326; 0.000; 1.386; 0.000; 0.000; 0.011; 0.603; 0.000; 0.000; 0.000 μB/f.u.